# 1
A relaxed structure of AgSn2Hg2, computed with PBE.

```
data_AgSn2Hg2
_cell_length_a 7.509
_cell_length_b 7.509
_cell_length_c 4.493
_cell_angle_alpha 90.00
_cell_angle_beta 90.00
_cell_angle_gamma 90.00
_symmetry_space_group_name_H-M 'P 1'
_symmetry_Int_Tables_number 1
loop_
_symmetry_equiv_pos_as_xyz
'x,y,z'
loop_
_atom_site_label
_atom_site_type_symbol
_atom_site_fract_x
_atom_site_fract_y
_atom_site_fract_z
Ag1 Ag 0.000 0.000 0.000
Ag2 Ag 0.500 0.500 0.000
Sn1 Sn 0.164 0.336 0.500
Sn2 Sn 0.336 0.836 0.500
Sn3 Sn 0.664 0.164 0.500
Sn4 Sn 0.836 0.664 0.500
Hg1 Hg 0.145 0.645 0.000
Hg2 Hg 0.355 0.145 0.000
Hg3 Hg 0.645 0.855 0.000
Hg4 Hg 0.855 0.355 0.000
```

Output
offset from the most stable computed form	45	meV per atom
total magnetic moment	0.00	μB/f.u.
space group	No. 127
uncorrected energy	-2.139	eV/atom
energy of formation from the pure elements	0.153	eV per atom

# 2
A relaxed structure of Ag3SnHg3, computed with PBE.

```
data_Ag3SnHg3
_cell_length_a 7.668
_cell_length_b 7.668
_cell_length_c 7.668
_cell_angle_alpha 90.00
_cell_angle_beta 90.00
_cell_angle_gamma 90.00
_symmetry_space_group_name_H-M 'P 1'
_symmetry_Int_Tables_number 1
loop_
_symmetry_equiv_pos_as_xyz
'x,y,z'
loop_
_atom_site_label
_atom_site_type_symbol
_atom_site_fract_x
_atom_site_fract_y
_atom_site_fract_z
Ag1 Ag 0.000 0.250 0.500
Ag2 Ag 0.000 0.750 0.500
Ag3 Ag 0.250 0.500 0.000
Ag4 Ag 0.500 0.000 0.250
Ag5 Ag 0.500 0.000 0.750
Ag6 Ag 0.750 0.500 0.000
Sn1 Sn 0.000 0.000 0.000
Sn2 Sn 0.500 0.500 0.500
Hg1 Hg 0.000 0.500 0.250
Hg2 Hg 0.000 0.500 0.750
Hg3 Hg 0.250 0.000 0.500
Hg4 Hg 0.500 0.250 0.000
Hg5 Hg 0.500 0.750 0.000
Hg6 Hg 0.750 0.000 0.500
```

Output
total magnetic moment	0.00	μB/f.u.
space group	No. 223
uncorrected energy	-1.351	eV/atom
energy of formation from the pure elements	0.572	eV per atom